Record 1
This record from the Alexandria database describes a relaxed structure of DySc3Ga2. The functional is PBE.

ΔE to the lowest computed polymorph (kJ per mole of atoms): 0.0
Magnetization (μB/cell): 0.0
ΔH_f (0 K) (eV per atom): -0.458

Geometry as CIF:
```
data_DySc3Ga2
_chemical_formula_sum 'Dy2 Sc6 Ga4'
_symmetry_space_group_name_H-M 'P m c 21'
_symmetry_Int_Tables_number 26
_cell_length_a 4.614
_cell_length_b 9.018
_cell_length_c 6.365
_cell_angle_alpha 90.00
_cell_angle_beta 90.00
_cell_angle_gamma 90.00
loop_
_symmetry_equiv_pos_as_xyz
'x,y,z'
'-x,-y,z+1/2'
'-x,y,z'
'x,-y,z+1/2'
loop_
_atom_site_label
_atom_site_type_symbol
_atom_site_fract_x
_atom_site_fract_y
_atom_site_fract_z
Dy1 Dy 0.000 0.050 0.000
Sc1 Sc 0.000 0.319 0.618
Sc2 Sc 0.500 0.199 0.289
Sc3 Sc 0.500 0.449 0.907
Ga1 Ga 0.000 0.372 0.170
Ga2 Ga 0.500 0.136 0.733
```

---

Record 2
This record from the Alexandria database describes a relaxed structure of Mg2PW. The functional is PBE.

Magnetization (μB/cell): 0.0
ΔH_f (0 K) (eV per atom): 0.396

Geometry as CIF:
```
data_Mg2PW
_chemical_formula_sum 'Mg2 P1 W1'
_symmetry_space_group_name_H-M 'P 4/m m m'
_symmetry_Int_Tables_number 123
_symmetry_space_group_name_Hall '-P 4 2'
_cell_length_a 3.952
_cell_length_b 3.952
_cell_length_c 4.071
_cell_angle_alpha 90.00
_cell_angle_beta 90.00
_cell_angle_gamma 90.00
loop_
_atom_site_label
_atom_site_type_symbol
_atom_site_fract_x
_atom_site_fract_y
_atom_site_fract_z
Mg1 Mg 0.000 0.500 0.000
P1 P 0.000 0.000 0.500
W1 W 0.500 0.500 0.500
```